No. 1
This record from Alexandria via LeMat-Bulk describes a relaxed structure of Ta2TlP. The functional is GGA-PBE.

Lattice parameters (Å, degrees): 9.083 9.083 9.083 20.57 20.57 20.57
Element x y z (fractional)
Ta (0.994, 0.994, 0.994)
Ta (0.739, 0.739, 0.739)
Tl (0.502, 0.502, 0.502)
P (0.264, 0.264, 0.264)

Energy above the lowest structure with this stoichiometry in eV/atom: 0.231
Energy of formation in eV per atom: 0.166
Symmetry: R3m (160)
Energy in eV per atom: -7.704
Magnetization in μB/atom: 0.000

No. 2
This record from Alexandria via LeMat-Bulk describes a relaxed structure of Re2PRh. The functional is GGA-PBE.

Lattice parameters (Å, degrees): 3.932 2.819 5.272 75.82 90.00 90.00
Element x y z (fractional)
Re (0.000, 0.137, 0.732)
Re (0.000, 0.863, 0.268)
P (0.500, 0.500, 0.500)
Rh (0.500, 0.500, 0.000)

Energy of formation in eV per atom: 0.025
Symmetry: P2/m (10)
Energy in eV per atom: -9.389
Magnetization in μB/atom: 0.000

No. 3
This record from Alexandria via LeMat-Bulk describes a relaxed structure of RbCd6Ag. The functional is GGA-PBE.

Lattice parameters (Å, degrees): 4.879 4.879 11.216 77.44 77.44 60.00
Element x y z (fractional)
Rb (0.500, 0.500, 0.500)
Cd (0.638, 0.638, 0.087)
Cd (0.090, 0.090, 0.731)
Cd (0.910, 0.910, 0.269)
Cd (0.362, 0.362, 0.913)
Cd (0.263, 0.263, 0.210)
Cd (0.737, 0.737, 0.790)
Ag (0.000, 0.000, 0.000)

Energy above the lowest structure with this stoichiometry in eV/atom: 0.013
Energy of formation in eV per atom: -0.005
Symmetry: R-3m (166)
Energy in eV per atom: -1.169
Magnetization in μB/atom: 0.000

No. 4
This record from Alexandria via LeMat-Bulk describes a relaxed structure of Tc3AsPb. The functional is GGA-PBE.

Lattice parameters (Å, degrees): 4.609 4.609 4.609 90.00 90.00 90.00
Each line ends with the local moment (μB).
Element x y z (fractional)
Pb (0.500, 0.500, 0.500)  -0.03
As (0.000, 0.000, 0.000)  -0.04
Tc (0.000, 0.500, 0.000)  0.62
Tc (0.000, 0.000, 0.500)  0.70
Tc (0.500, 0.000, 0.000)  0.65

Energy above the lowest structure with this stoichiometry in eV/atom: 0.000
Energy of formation in eV per atom: 0.951
Symmetry: Pm-3m (221)
Energy in eV per atom: -6.940
Magnetization in μB/atom: 0.408

No. 5
This record from Alexandria via LeMat-Bulk describes a relaxed structure of PmScAg. The functional is GGA-PBE.

Lattice parameters (Å, degrees): 4.660 4.660 7.234 90.00 90.00 90.00
Element x y z (fractional)
Pm (0.000, 0.500, 0.869)
Pm (0.500, 0.000, 0.131)
Ag (0.000, 0.500, 0.273)
Ag (0.500, 0.000, 0.727)
Sc (0.500, 0.500, 0.500)
Sc (0.000, 0.000, 0.500)

Energy above the lowest structure with this stoichiometry in eV/atom: 0.003
Energy of formation in eV per atom: -0.151
Symmetry: P4/nmm (129)
Energy in eV per atom: -4.796
Magnetization in μB/atom: 0.000

No. 6
This record from Alexandria via LeMat-Bulk describes a relaxed structure of Sc6Sb2H. The functional is GGA-PBE.

Lattice parameters (Å, degrees): 6.061 6.962 9.136 90.00 89.93 90.00
Element x y z (fractional)
Sc (0.863, 0.985, 0.251)
Sc (0.878, 0.699, 0.536)
Sc (0.878, 0.697, 0.964)
Sc (0.622, 0.197, 0.536)
Sc (0.622, 0.199, 0.964)
Sc (0.637, 0.485, 0.249)
Sc (0.137, 0.015, 0.749)
Sc (0.122, 0.301, 0.464)
Sc (0.122, 0.303, 0.036)
Sc (0.378, 0.803, 0.464)
Sc (0.378, 0.801, 0.036)
Sc (0.363, 0.515, 0.751)
Sb (0.900, 0.385, 0.749)
Sb (0.600, 0.885, 0.751)
Sb (0.400, 0.115, 0.249)
Sb (0.100, 0.615, 0.251)
H (0.500, 0.500, 0.000)
H (0.000, 0.000, 0.500)

Symmetry: P2_1/c (14)
Energy in eV per atom: -6.038
Magnetization in μB/atom: 0.000